(1)
VASP calculation (PBE-GGA) on Pm4CoPtCl2 after structural relaxation.

a b c (Å): 7.1002 4.0429 7.8066
angles (deg): 90.00 107.89 90.00
Last column: nearest neighbours and their distance in Å.
Element x y z (fractional)
Pm1 0.2240 0.0000 0.2014  2 Co 2.75, 1 Pt 2.86
Pm2 0.2456 0.5000 0.7962  1 Co 2.70, 2 Pt 2.85
Pm3 0.7544 0.5000 0.2038  1 Co 2.70, 2 Pt 2.85
Pm4 0.7760 0.0000 0.7986  2 Co 2.75, 1 Pt 2.86
Co1 0.0000 0.5000 0.0000  6 Pm 2.70-2.75
Pt1 0.5000 0.0000 0.0000  6 Pm 2.85-2.86
Cl1 0.0000 0.0000 0.5000  6 Pm 3.16-3.20
Cl2 0.5000 0.5000 0.5000  6 Pm 3.25-3.34

Values from the calculation:
Energy relative to the elements, uncorrected ... -25.18 kcal/mol of atoms
Space group ... P2/m
E_tot ... -44.6 eV per formula unit

(2)
VASP calculation (PBE-GGA) on Ta2Si2As after structural relaxation.

a b c (Å): 6.9432 6.9432 3.4767
angles (deg): 90.00 90.00 90.00
Last column: nearest neighbours and their distance in Å.
Element x y z (fractional)
Ta1 0.1607 0.3393 0.0000  2 As 2.61, 6 Si 2.67-2.69
Ta2 0.3393 0.8393 0.0000  2 As 2.61, 6 Si 2.67-2.69
Ta3 0.6607 0.1607 0.0000  2 As 2.61, 6 Si 2.67-2.69
Ta4 0.8393 0.6607 0.0000  2 As 2.61, 6 Si 2.67-2.69
Si1 0.1304 0.6304 0.5000  1 Si 2.56, 6 Ta 2.67-2.69
Si2 0.3696 0.1304 0.5000  1 Si 2.56, 6 Ta 2.67-2.69
Si3 0.6304 0.8696 0.5000  1 Si 2.56, 6 Ta 2.67-2.69
Si4 0.8696 0.3696 0.5000  1 Si 2.56, 6 Ta 2.67-2.69
As1 0.0000 0.0000 0.0000  4 Ta 2.61
As2 0.5000 0.5000 0.0000  4 Ta 2.61

Values from the calculation:
Energy relative to the elements, uncorrected ... -4.74 kcal/mol of atoms
Space group ... P4/mbm
E_tot ... -40.2 eV per formula unit

Q: Which of these has the lowest E_tot?
A: Pm4CoPtCl2